A plane-wave DFT calculation with PBE was carried out for a relaxed structure of KSr2AgO.

Lattice parameters (Å, degrees): 5.1208 5.1208 5.4545 90.00 90.00 90.00
With the nearest neighbours (Å) after each atom.
Positions (direct):
K: 0.0000 0.0000 0.0000  2 O 2.73
Sr: 0.0000 0.5000 0.5000  2 O 2.56
Sr: 0.5000 0.0000 0.5000  2 O 2.56
Ag: 0.5000 0.5000 0.0000  4 K 3.62, 8 Sr 3.74
O: 0.0000 0.0000 0.5000  4 Sr 2.56, 2 K 2.73

Values from the calculation:
**Raw total energy**: -3.44 eV/atom
**Raw formation energy**: -4.93 eV/f.u.
**N(E_F)**: 2.40 states/eV/f.u.
**M_tot**: 0.00 μB/atom
**Mass density**: 3.93 g/cm3

A plane-wave DFT calculation with PBE was carried out for a relaxed structure of KTa2AgO.

Lattice parameters (Å, degrees): 4.1580 4.1580 6.0936 90.00 90.00 90.00
With the nearest neighbours (Å) after each atom.
Positions (direct):
K: 0.0000 0.0000 0.0000  4 Ag 2.94
Ta: 0.0000 0.5000 0.5000  2 O 2.08
Ta: 0.5000 0.0000 0.5000  2 O 2.08
Ag: 0.5000 0.5000 0.0000  4 K 2.94, 2 O 3.05
O: 0.5000 0.5000 0.5000  4 Ta 2.08

Values from the calculation:
**Raw total energy**: -6.26 eV/atom
**Raw formation energy**: 1.32 eV/f.u.
**N(E_F)**: 4.51 states/eV/f.u.
**M_tot**: 0.00 μB/atom
**Mass density**: 8.27 g/cm3

A plane-wave DFT calculation with PBE was carried out for a relaxed structure of KTa2Ag2O7.

Lattice parameters (Å, degrees): 10.3865 10.3865 10.3865 158.17 32.71 155.95
With the nearest neighbours (Å) after each atom.
Positions (direct):
K: 0.0000 0.0000 0.0000  12 O 2.80-3.05
Ta: 0.3849 0.9848 0.4001  5 O 1.88-2.03
Ta: 0.5847 0.9848 0.5999  5 O 1.88-2.03
Ag: 0.2567 0.5364 0.7203  3 O 2.18-2.41
Ag: 0.8160 0.5364 0.2797  3 O 2.18-2.41
O: 0.1498 0.5504 0.5995  1 Ta 1.88
O: 0.3399 0.0411 0.2988  1 Ta 2.03, 2 Ag 2.18-2.22
O: 0.4415 0.5400 0.9015  2 Ta 1.98
O: 0.5353 0.0353 0.5000  2 Ta 2.00
O: 0.6385 0.5400 0.0985  2 Ta 1.98
O: 0.7423 0.0411 0.7012  1 Ta 2.03, 2 Ag 2.18-2.22
O: 0.9509 0.5504 0.4005  1 Ta 1.88

Values from the calculation:
**Raw total energy**: -7.31 eV/atom
**Raw formation energy**: -22.47 eV/f.u.
**N(E_F)**: 4.56 states/eV/f.u.
**M_tot**: 0.00 μB/atom
**Mass density**: 7.13 g/cm3

A plane-wave DFT calculation with PBE was carried out for a relaxed structure of K3TaAg2O6.

Lattice parameters (Å, degrees): 6.3140 6.3140 6.9556 90.00 90.00 120.00
With the nearest neighbours (Å) after each atom.
Positions (direct):
K: 0.0000 0.0000 0.0000  6 O 2.72
K: 0.3333 0.6667 0.7219  1 Ag 3.02, 6 O 3.18
K: 0.6667 0.3333 0.2781  1 Ag 3.02, 6 O 3.18
Ta: 0.0000 0.0000 0.5000  6 O 2.00
Ag: 0.3333 0.6667 0.2880  3 O 2.09
Ag: 0.6667 0.3333 0.7120  3 O 2.09
O: 0.1431 0.2863 0.3199  1 Ta 2.00, 1 Ag 2.09
O: 0.1431 0.8569 0.3199  1 Ta 2.00, 1 Ag 2.09
O: 0.2863 0.1431 0.6801  1 Ta 2.00, 1 Ag 2.09
O: 0.7137 0.8569 0.3199  1 Ta 2.00, 1 Ag 2.09
O: 0.8569 0.1431 0.6801  1 Ta 2.00, 1 Ag 2.09
O: 0.8569 0.7137 0.6801  1 Ta 2.00, 1 Ag 2.09

Values from the calculation:
**Raw total energy**: -5.54 eV/atom
**Raw formation energy**: -15.93 eV/f.u.
**N(E_F)**: 3.28 states/eV/f.u.
**M_tot**: 0.18 μB/atom
**Mass density**: 4.22 g/cm3

A plane-wave DFT calculation with PBE was carried out for a relaxed structure of KTbAgO2.

Lattice parameters (Å, degrees): 6.7281 5.5830 6.5463 90.00 94.33 90.00
With the nearest neighbours (Å) after each atom.
Positions (direct):
K: 0.0000 0.1817 0.2500  4 O 2.75-2.98
K: 0.0000 0.8183 0.7500  4 O 2.75-2.98
Tb: 0.5000 0.0177 0.7500  4 O 2.21-2.23
Tb: 0.5000 0.9823 0.2500  4 O 2.21-2.23
Ag: 0.5000 0.5000 0.0000  2 O 2.53
Ag: 0.5000 0.5000 0.5000  2 O 2.53
O: 0.2995 0.1154 0.9926  2 Tb 2.21-2.23
O: 0.2995 0.8846 0.4926  2 Tb 2.21-2.23
O: 0.7005 0.1154 0.5074  2 Tb 2.21-2.23
O: 0.7005 0.8846 0.0074  2 Tb 2.21-2.23

Values from the calculation:
**Raw total energy**: -5.36 eV/atom
**Raw formation energy**: -8.30 eV/f.u.
**N(E_F)**: 1.41 states/eV/f.u.
**M_tot**: 0.00 μB/atom
**Mass density**: 4.58 g/cm3

A plane-wave DFT calculation with PBE was carried out for a relaxed structure of K2TcAgO4.

Lattice parameters (Å, degrees): 5.7923 5.7923 5.7923 116.10 116.10 96.90
With the nearest neighbours (Å) after each atom.
Positions (direct):
K: 0.0000 0.0000 0.0000  4 O 2.77
K: 0.7500 0.2500 0.5000  4 O 2.72
Tc: 0.2500 0.7500 0.5000  4 O 1.84
Ag: 0.5000 0.5000 0.0000  4 O 2.34
O: 0.1677 0.6098 0.1072  1 Tc 1.84
O: 0.3902 0.4974 0.5579  1 Tc 1.84
O: 0.5026 0.0605 0.8928  1 Tc 1.84
O: 0.9395 0.8323 0.4421  1 Tc 1.84

Values from the calculation:
**Raw total energy**: -5.60 eV/atom
**Raw formation energy**: -9.54 eV/f.u.
**N(E_F)**: 6.63 states/eV/f.u.
**M_tot**: 0.00 μB/atom
**Mass density**: 4.00 g/cm3

A plane-wave DFT calculation with PBE was carried out for a relaxed structure of KTcAgO4.

Lattice parameters (Å, degrees): 6.1483 6.6839 7.0145 90.00 111.79 90.00
With the nearest neighbours (Å) after each atom.
Positions (direct):
K: 0.2227 0.2500 0.4817  6 O 2.76-2.92
K: 0.7773 0.7500 0.5183  6 O 2.76-2.92
Tc: 0.1980 0.7500 0.1462  4 O 1.79-1.81
Tc: 0.8020 0.2500 0.8538  4 O 1.79-1.81
Ag: 0.4423 0.2500 0.0743  4 O 2.27-2.44
Ag: 0.5577 0.7500 0.9257  4 O 2.27-2.44
O: 0.0764 0.2500 0.8193  1 Tc 1.79
O: 0.1729 0.7500 0.8815  1 Tc 1.81
O: 0.3621 0.5301 0.2607  1 Tc 1.79
O: 0.3621 0.9699 0.2607  1 Tc 1.79
O: 0.6379 0.0301 0.7393  1 Tc 1.79
O: 0.6379 0.4699 0.7393  1 Tc 1.79
O: 0.8271 0.2500 0.1185  1 Tc 1.81
O: 0.9236 0.7500 0.1807  1 Tc 1.79

Values from the calculation:
**Raw total energy**: -6.09 eV/atom
**Raw formation energy**: -8.49 eV/f.u.
**N(E_F)**: 2.62 states/eV/f.u.
**M_tot**: 0.14 μB/atom
**Mass density**: 3.83 g/cm3

A plane-wave DFT calculation with PBE was carried out for a relaxed structure of KTc2AgO8.

Lattice parameters (Å, degrees): 6.4629 6.4629 6.9723 110.99 110.99 55.30
With the nearest neighbours (Å) after each atom.
Positions (direct):
K: 0.0000 0.0000 0.0000  2 O 2.71
Tc: 0.2016 0.2016 0.6738  4 O 1.73-1.76
Tc: 0.7984 0.7984 0.3262  4 O 1.73-1.76
Ag: 0.5000 0.5000 0.5000  4 O 2.34
O: 0.1037 0.6321 0.2652  1 Tc 1.76
O: 0.1673 0.1673 0.4070  1 Tc 1.74
O: 0.3660 0.3660 0.8130  1 Tc 1.73
O: 0.3679 0.8963 0.7348  1 Tc 1.76
O: 0.6321 0.1037 0.2652  1 Tc 1.76
O: 0.6340 0.6340 0.1870  1 Tc 1.73
O: 0.8327 0.8327 0.5930  1 Tc 1.74
O: 0.8963 0.3679 0.7348  1 Tc 1.76

Values from the calculation:
**Raw total energy**: -6.72 eV/atom
**Raw formation energy**: -16.28 eV/f.u.
**N(E_F)**: 0.00 states/eV/f.u.
**M_tot**: 0.00 μB/atom
**Mass density**: 3.57 g/cm3

A plane-wave DFT calculation with PBE was carried out for a relaxed structure of KAgTeO4.

Lattice parameters (Å, degrees): 6.1137 6.7324 7.2145 90.00 110.41 90.00
With the nearest neighbours (Å) after each atom.
Positions (direct):
K: 0.2198 0.2500 0.4795  6 O 2.77-2.93
K: 0.7802 0.7500 0.5205  6 O 2.77-2.93
Ag: 0.4404 0.2500 0.0837  4 O 2.35-2.43
Ag: 0.5596 0.7500 0.9163  4 O 2.35-2.43
Te: 0.1971 0.7500 0.1461  4 O 1.85-1.86
Te: 0.8029 0.2500 0.8539  4 O 1.85-1.86
O: 0.0871 0.2500 0.8149  1 Te 1.85
O: 0.1630 0.7500 0.8800  1 Te 1.86
O: 0.3704 0.5301 0.2690  1 Te 1.86
O: 0.3704 0.9699 0.2690  1 Te 1.86
O: 0.6296 0.0301 0.7310  1 Te 1.86
O: 0.6296 0.4699 0.7310  1 Te 1.86
O: 0.8370 0.2500 0.1200  1 Te 1.86
O: 0.9129 0.7500 0.1851  1 Te 1.85

Values from the calculation:
**Raw total energy**: -4.77 eV/atom
**Raw formation energy**: -6.47 eV/f.u.
**M_tot**: 0.00 μB/atom
**Mass density**: 4.04 g/cm3

A plane-wave DFT calculation with PBE was carried out for a relaxed structure of KAg2TeO4.

Lattice parameters (Å, degrees): 6.8548 7.1511 7.5112 116.89 115.15 92.12
With the nearest neighbours (Å) after each atom.
Positions (direct):
K: 0.0000 0.0000 0.0000  4 O 2.59-2.63
K: 0.0000 0.0000 0.5000  2 O 2.49
Ag: 0.0000 0.5000 0.0000  2 O 2.07
Ag: 0.5000 0.0000 0.0000  4 O 2.29-2.41
Ag: 0.5000 0.0000 0.5000  2 O 2.11
Ag: 0.5000 0.5000 0.0000  2 O 2.13
Te: 0.0000 0.5000 0.5000  6 O 1.89-2.07
Te: 0.5000 0.5000 0.5000  4 O 2.06-2.27
O: 0.1394 0.8032 0.7103  1 Te 1.89
O: 0.1400 0.4957 0.3028  2 Te 2.07-2.27, 1 Ag 2.07
O: 0.2997 0.4395 0.6618  2 Te 2.07-2.32, 1 Ag 2.13
O: 0.4271 0.1637 0.3158  1 Te 2.06, 1 Ag 2.11
O: 0.5729 0.8363 0.6842  1 Te 2.06, 1 Ag 2.11
O: 0.7003 0.5605 0.3382  2 Te 2.07-2.32, 1 Ag 2.13
O: 0.8600 0.5043 0.6972  2 Te 2.07-2.27, 1 Ag 2.07
O: 0.8606 0.1968 0.2897  1 Te 1.89

Values from the calculation:
**Raw total energy**: -4.43 eV/atom
**Raw formation energy**: -5.64 eV/f.u.
**M_tot**: 0.00 μB/atom
**Mass density**: 5.20 g/cm3